Record 1
First-principles (PBEsol) data for crystalline ScAl2Ru at its relaxed geometry, as listed in Alexandria via LeMat-Bulk.

Calculated values
Its symmetry is P2/m, No. 10. As for the formation enthalpy at 0 K: -39.9 kJ per mole of atoms.

a = 2.9429 Å, b = 4.2500 Å, c = 5.3090 Å
α = 90.00°, β = 105.76°, γ = 90.00°
Closest atoms and distances in Å follow each position.
Positions (direct):
1 Sc 0.0000 0.0000 0.0000  2 Ru 2.66, 4 Al 2.90, 2 Sc 2.94
2 Al 0.3370 0.5000 0.7247  2 Ru 2.55, 3 Al 2.66-2.82
3 Al 0.6630 0.5000 0.2753  2 Ru 2.55, 3 Al 2.66-2.82
4 Ru 0.5000 0.0000 0.5000  4 Al 2.55, 2 Sc 2.66

***

Record 2
First-principles (PBEsol) data for crystalline CaUO4 at its relaxed geometry, as listed in Alexandria via LeMat-Bulk.

Calculated values
The formation energy from raw total energies comes out at -3.263 eV/atom. Its symmetry is R-3m, No. 166.

a = 6.2787 Å, b = 6.2787 Å, c = 6.2787 Å
α = 35.65°, β = 35.65°, γ = 35.65°
Closest atoms and distances in Å follow each position.
Positions (direct):
1 Ca 0.0000 0.0000 0.0000  8 O 2.42
2 U 0.5000 0.5000 0.5000  2 O 1.97
3 O 0.1375 0.1375 0.1375  3 U 2.28, 1 Ca 2.42, 3 O 2.45
4 O 0.3880 0.3880 0.3880  1 U 1.97
5 O 0.6120 0.6120 0.6120  1 U 1.97
6 O 0.8625 0.8625 0.8625  3 U 2.28, 1 Ca 2.42, 3 O 2.45

***

Record 3
First-principles (PBEsol) data for crystalline TcSb5 at its relaxed geometry, as listed in Alexandria via LeMat-Bulk.

Calculated values
The value obtained for the offset from the most stable computed form is 0.000 eV per atom. The formation energy from raw total energies comes out at 0.090 eV/atom. Its symmetry is Cm, No. 8.

a = 6.8356 Å, b = 6.8356 Å, c = 7.8782 Å
α = 111.94°, β = 111.94°, γ = 27.60°
Closest atoms and distances in Å follow each position.
Positions (direct):
1 Tc 0.0000 0.0000 0.0000  9 Sb 2.73-3.02
2 Sb 0.3389 0.3389 0.7708  2 Tc 2.74, 1 Sb 3.05
3 Sb 0.4032 0.4032 0.1862  2 Tc 2.81, 2 Sb 2.88-3.05
4 Sb 0.6378 0.6378 0.3297  2 Sb 2.88-2.93, 2 Tc 3.02
5 Sb 0.6572 0.6572 0.9710  2 Tc 2.73, 1 Sb 2.93
6 Sb 0.9914 0.9914 0.6333  1 Tc 2.85, 4 Sb 3.10-3.17

***

Record 4
First-principles (PBEsol) data for crystalline LaYC3 at its relaxed geometry, as listed in Alexandria via LeMat-Bulk.

Calculated values
Its symmetry is I2_13, No. 199. As for the formation enthalpy at 0 K: -21.3 kJ per mole of atoms.

a = 7.3003 Å, b = 7.3003 Å, c = 7.3003 Å
α = 109.47°, β = 109.47°, γ = 109.47°
Closest atoms and distances in Å follow each position.
Positions (direct):
1 La 0.0000 0.6076 0.5000  9 C 2.61-2.85
2 La 0.5000 0.0000 0.6076  9 C 2.61-2.85
3 La 0.6076 0.5000 0.0000  9 C 2.61-2.85
4 La 0.8924 0.8924 0.8924  9 C 2.61-2.85
5 Y 0.0000 0.0999 0.5000  6 C 2.56-2.63
6 Y 0.0999 0.5000 0.0000  6 C 2.56-2.63
7 Y 0.4001 0.4001 0.4001  6 C 2.56-2.63
8 Y 0.5000 0.0000 0.0999  6 C 2.56-2.63
9 C 0.0575 0.8075 0.2500  1 C 1.34
10 C 0.2159 0.9659 0.2500  1 C 1.34
11 C 0.2500 0.0575 0.8075  1 C 1.34
12 C 0.2500 0.2159 0.9659  1 C 1.34
13 C 0.2841 0.5341 0.7500  1 C 1.34
14 C 0.4425 0.6925 0.7500  1 C 1.34
15 C 0.5341 0.7500 0.2841  1 C 1.34
16 C 0.6925 0.7500 0.4425  1 C 1.34
17 C 0.7500 0.2841 0.5341  1 C 1.34
18 C 0.7500 0.4425 0.6925  1 C 1.34
19 C 0.8075 0.2500 0.0575  1 C 1.34
20 C 0.9659 0.2500 0.2159  1 C 1.34

***

Record 5
First-principles (PBEsol) data for crystalline Rb4H6C2O9 at its relaxed geometry, as listed in Alexandria via LeMat-Bulk.

Calculated values
Its total DFT energy (no corrections) is -243.10 eV for the cell shown. Its symmetry is C2/c, No. 15.

a = 9.1517 Å, b = 9.1517 Å, c = 7.4596 Å
α = 109.69°, β = 109.69°, γ = 94.47°
Closest atoms and distances in Å follow each position.
Positions (direct):
1 Rb 0.1175 0.8825 0.7500  2 H 2.79, 8 O 2.87-3.04
2 Rb 0.1877 0.8123 0.2500  2 H 2.88, 8 O 2.89-3.21
3 Rb 0.2241 0.4892 0.4628  7 O 2.89-3.11, 3 H 2.89-2.99
4 Rb 0.4892 0.2241 0.9628  7 O 2.89-3.11, 3 H 2.89-2.99
5 Rb 0.5108 0.7759 0.0372  7 O 2.89-3.11, 3 H 2.89-2.99
6 Rb 0.7759 0.5108 0.5372  7 O 2.89-3.11, 3 H 2.89-2.99
7 Rb 0.8123 0.1877 0.7500  2 H 2.88, 8 O 2.89-3.21
8 Rb 0.8825 0.1175 0.2500  2 H 2.79, 8 O 2.87-3.04
9 H 0.1385 0.2786 0.0375  1 O 1.02
10 H 0.1429 0.2055 0.6219  1 O 1.01
11 H 0.2055 0.1429 0.1219  1 O 1.01
12 H 0.2786 0.1385 0.5375  1 O 1.02
13 H 0.3613 0.4995 0.1548  1 O 1.01
14 H 0.4995 0.3613 0.6548  1 O 1.01
15 H 0.5005 0.6387 0.3452  1 O 1.01
16 H 0.6387 0.5005 0.8452  1 O 1.01
17 H 0.7214 0.8615 0.4625  1 O 1.02
18 H 0.7945 0.8571 0.8781  1 O 1.01
19 H 0.8571 0.7945 0.3781  1 O 1.01
20 H 0.8615 0.7214 0.9625  1 O 1.02
21 C 0.1364 0.4720 0.8430  3 O 1.28-1.31
22 C 0.4720 0.1364 0.3430  3 O 1.28-1.31
23 C 0.5280 0.8636 0.6570  3 O 1.28-1.31
24 C 0.8636 0.5280 0.1570  3 O 1.28-1.31
25 O 0.0529 0.3554 0.6666  1 C 1.31
26 O 0.1081 0.1865 0.0740  2 H 1.01-1.02
27 O 0.1769 0.4445 0.0129  1 C 1.31
28 O 0.1788 0.6118 0.8512  1 C 1.28
29 O 0.1865 0.1081 0.5740  2 H 1.01-1.02
30 O 0.3554 0.0529 0.1666  1 C 1.31
31 O 0.3882 0.8212 0.6488  1 C 1.28
32 O 0.4445 0.1769 0.5129  1 C 1.31
33 O 0.4770 0.5230 0.2500  2 H 1.01
34 O 0.5230 0.4770 0.7500  2 H 1.01
35 O 0.5555 0.8231 0.4871  1 C 1.31
36 O 0.6118 0.1788 0.3512  1 C 1.28
37 O 0.6446 0.9471 0.8334  1 C 1.31
38 O 0.8135 0.8919 0.4260  2 H 1.01-1.02
39 O 0.8212 0.3882 0.1488  1 C 1.28
40 O 0.8231 0.5555 0.9871  1 C 1.31
41 O 0.8919 0.8135 0.9260  2 H 1.01-1.02
42 O 0.9471 0.6446 0.3334  1 C 1.31

***

Record 6
First-principles (PBEsol) data for crystalline Sc2NbCd at its relaxed geometry, as listed in Alexandria via LeMat-Bulk.

Calculated values
Its symmetry is R-3m, No. 166. As for the formation enthalpy at 0 K: 32.3 kJ per mole of atoms.

a = 10.8440 Å, b = 10.8440 Å, c = 10.8440 Å
α = 15.93°, β = 15.93°, γ = 15.93°
Closest atoms and distances in Å follow each position.
Positions (direct):
1 Sc 0.0862 0.0862 0.0862  1 Nb 2.77, 6 Sc 3.01
2 Sc 0.9138 0.9138 0.9138  1 Nb 2.77, 6 Sc 3.01
3 Nb 0.0000 0.0000 0.0000  2 Sc 2.77, 6 Nb 3.01
4 Cd 0.5000 0.5000 0.5000  6 Cd 3.01, 6 Sc 3.11